1.
DFT (PBE) results for PmIrPb after structural relaxation.

## Properties
polymorph energy (0 for the lowest one)	20.5	kJ per mole of atoms
DOS(E_F)	7.85	states/eV per cell
volume	79.3	Å³/f.u.
ρ	11.395	Mg/m³
total moment	0.00	μB/f.u.

a = 12.714 Å, b = 12.714 Å, c = 12.714 Å
α = 163.87°, β = 163.87°, γ = 22.89°
Sites, in units of the cell vectors:
Pm: 0.156 0.156 0.000
Pm: 0.844 0.844 0.000
Ir: 0.267 0.267 0.000
Ir: 0.733 0.733 0.000
Pb: 0.439 0.439 0.000
Pb: 0.561 0.561 0.000


2.
DFT (PBE) results for PmPrIrPb after structural relaxation.

## Properties
DOS(E_F)	3.23	states/eV per cell
volume	105.6	Å³/f.u.
ρ	10.773	Mg/m³
total moment	0.00	μB/f.u.

a = 5.306 Å, b = 5.306 Å, c = 5.306 Å
α = 60.00°, β = 60.00°, γ = 60.00°
Sites, in units of the cell vectors:
Pm: 0.000 0.000 0.000
Pr: 0.500 0.500 0.500
Ir: 0.250 0.250 0.250
Pb: 0.750 0.750 0.750


3.
DFT (PBE) results for PmIrPtPb after structural relaxation.

## Properties
DOS(E_F)	2.41	states/eV per cell
volume	84.5	Å³/f.u.
ρ	14.528	Mg/m³
total moment	0.00	μB/f.u.

a = 4.926 Å, b = 4.926 Å, c = 4.926 Å
α = 60.00°, β = 60.00°, γ = 60.00°
Sites, in units of the cell vectors:
Pm: 0.000 0.000 0.000
Ir: 0.750 0.750 0.750
Pt: 0.250 0.250 0.250
Pb: 0.500 0.500 0.500


What are the formation energy from the elements values for these records? In order: -0.5; -1.5; -1.4 eV/f.u..